VASP calculation (PBE) on a relaxed NpMnZnRh crystal.

- DOS at the Fermi energy: 4.80 states/eV/f.u.
- Symmetry: No. 216
- Electronic total energy: -7.797 eV/atom
- Spin magnetization: 1.27 μB per formula unit

Cell: 4.5201 4.5201 4.5201 Å, 60.00 60.00 60.00°
Closest atoms and distances in Å follow each position.
Fractional positions:
Np 0.0000 0.0000 0.0000  4 Rh 2.77, 4 Mn 2.77
Mn 0.7500 0.7500 0.7500  4 Zn 2.77, 4 Np 2.77
Zn 0.5000 0.5000 0.5000  4 Rh 2.77, 4 Mn 2.77
Rh 0.2500 0.2500 0.2500  4 Zn 2.77, 4 Np 2.77